Entry 1:
VASP calculation (PBE) on TcIrRh2 after structural relaxation.

Cell and atoms, written as POSCAR:
```
TcIrRh2
1.0
-1.917 1.917 3.892
1.917 -1.917 3.892
1.917 1.917 -3.892
Tc Ir Rh
1 1 2
Cartesian
0.000 0.000 0.000 Tc
0.000 0.000 3.892 Ir
1.917 0.000 1.946 Rh
0.000 1.917 1.946 Rh
```

Crystal system ... tetragonal
Formation energy ... -0.06 eV per atom
Polymorph energy (0 for the lowest one) ... 0.041 eV per atom


Entry 2:
VASP calculation (PBE) on MnSiAs2 after structural relaxation.

Cell and atoms, written as POSCAR:
```
MnSiAs2
1.0
1.470 0.848 8.654
-1.470 0.848 8.654
0.000 -1.697 8.654
Mn Si As
1 1 2
Cartesian
0.000 0.000 0.000 Mn
0.000 0.000 12.980 Si
0.000 0.000 6.927 As
0.000 0.000 19.034 As
```

Crystal system ... trigonal
ΔE_f (raw) ... 0.232 eV per atom


Entry 3:
VASP calculation (PBE) on Ti2HPt2 after structural relaxation.

Cell and atoms, written as POSCAR:
```
Ti2HPt2
1.0
-2.180 2.180 4.992
2.180 -2.180 4.992
2.180 2.180 -4.992
Ti H Pt
2 1 2
Cartesian
2.180 0.000 2.496 Ti
0.000 2.180 2.496 Ti
0.000 0.000 0.000 H
0.000 0.000 3.735 Pt
0.000 0.000 6.249 Pt
```

Crystal system ... tetragonal
Polymorph energy (0 for the lowest one) ... 0.531 eV per atom


What total moment values result from the calculations? In sequence: 0.00; 0.04; 0.00 μB per cell.
What DOS at the Fermi energy values result from the calculations? In sequence: 5.22; 2.18; 6.28 states/eV/f.u..